1.
VASP calculation (PBE) on an optimized crystal structure of Hf2CdOs.

Cell lengths 3.245, 3.245, 7.328 Å; angles 90.00, 90.00, 90.00 degrees
Sites, in units of the cell vectors:
Hf (0.000, 0.000, 0.221)
Hf (0.000, 0.000, 0.779)
Os (0.500, 0.500, 0.000)
Cd (0.500, 0.500, 0.500)

Values from the calculation:
As for the space group: P4/mmm. As for the formation energy: -0.3156 eV/atom.

2.
VASP calculation (PBE) on an optimized crystal structure of HfCd2Os.

Cell lengths 4.706, 4.706, 4.706 Å; angles 60.00, 60.00, 60.00 degrees
Sites, in units of the cell vectors:
Os (0.500, 0.500, 0.500)
Cd (0.750, 0.750, 0.750)
Cd (0.250, 0.250, 0.250)
Hf (0.000, 0.000, 0.000)

Values from the calculation:
As for the space group: Fm-3m. As for the formation energy: 0.3729 eV/atom.

3.
VASP calculation (PBE) on an optimized crystal structure of HfCdOs3.

Cell lengths 4.826, 4.826, 4.826 Å; angles 90.00, 90.00, 90.00 degrees
Site moments in Bohr magnetons follow the coordinates.
Sites, in units of the cell vectors:
Cd (0.500, 0.500, 0.500)  -0.01
Os (0.500, 0.000, 0.000)  0.49
Os (0.000, 0.500, 0.000)  0.46
Os (0.000, 0.000, 0.500)  0.38
Hf (0.000, 0.000, 0.000)  -0.04

Values from the calculation:
As for the space group: Pm-3m. As for the formation energy: 2.1492 eV/atom.

4.
VASP calculation (PBE) on an optimized crystal structure of Hf2CdOs.

Cell lengths 7.697, 7.697, 6.154 Å; angles 51.29, 51.29, 90.00 degrees
Sites, in units of the cell vectors:
Hf (0.875, 0.921, 0.750)
Hf (0.079, 0.625, 0.250)
Hf (0.671, 0.125, 0.250)
Hf (0.375, 0.329, 0.750)
Os (0.750, 0.250, 0.500)
Os (0.000, 0.000, 0.000)
Cd (0.250, 0.750, 0.500)
Cd (0.500, 0.500, 0.000)

Values from the calculation:
As for the space group: I-42d. As for the formation energy: 0.2475 eV/atom.

5.
VASP calculation (PBE) on an optimized crystal structure of HfCd3Os.

Cell lengths 5.441, 5.441, 5.441 Å; angles 90.00, 90.00, 90.00 degrees
Site moments in Bohr magnetons follow the coordinates.
Sites, in units of the cell vectors:
Hf (0.000, 0.000, 0.000)  -0.67
Cd (0.000, 0.500, 0.000)  -0.06
Cd (0.500, 0.000, 0.000)  -0.06
Cd (0.000, 0.000, 0.500)  -0.03
Os (0.500, 0.500, 0.500)  2.81

Values from the calculation:
As for the space group: Pm-3m. As for the formation energy: 2.0813 eV/atom.

6.
VASP calculation (PBE) on an optimized crystal structure of HfCdOs3.

Cell lengths 4.733, 4.733, 4.733 Å; angles 90.00, 90.00, 90.00 degrees
Sites, in units of the cell vectors:
Os (0.500, 0.000, 0.000)
Os (0.000, 0.000, 0.500)
Os (0.000, 0.500, 0.000)
Hf (0.500, 0.500, 0.500)
Cd (0.000, 0.000, 0.000)

Values from the calculation:
As for the space group: Pm-3m. As for the formation energy: 2.4283 eV/atom.

7.
VASP calculation (PBE) on an optimized crystal structure of Hf2CdOs.

Cell lengths 3.308, 4.786, 4.786 Å; angles 90.00, 90.00, 90.00 degrees
Sites, in units of the cell vectors:
Cd (0.500, 0.000, 0.000)
Hf (0.000, 0.000, 0.500)
Hf (0.000, 0.500, 0.000)
Os (0.500, 0.500, 0.500)

Values from the calculation:
As for the space group: P4/mmm. As for the formation energy: -0.2225 eV/atom.

8.
VASP calculation (PBE) on an optimized crystal structure of HfCdOs2.

Cell lengths 7.430, 7.430, 5.921 Å; angles 51.14, 51.14, 90.00 degrees
Sites, in units of the cell vectors:
Os (0.637, 0.125, 0.250)
Os (0.375, 0.363, 0.750)
Os (0.875, 0.887, 0.750)
Os (0.113, 0.625, 0.250)
Cd (0.250, 0.750, 0.500)
Cd (0.500, 0.500, 0.000)
Hf (0.000, 0.000, 0.000)
Hf (0.750, 0.250, 0.500)

Values from the calculation:
As for the space group: I-42d. As for the formation energy: 0.8112 eV/atom.

9.
VASP calculation (PBE) on an optimized crystal structure of HfCd3Os.

Cell lengths 5.069, 5.069, 5.069 Å; angles 90.00, 90.00, 90.00 degrees
Sites, in units of the cell vectors:
Cd (0.000, 0.000, 0.500)
Cd (0.000, 0.500, 0.000)
Cd (0.500, 0.000, 0.000)
Os (0.000, 0.000, 0.000)
Hf (0.500, 0.500, 0.500)

Values from the calculation:
As for the space group: Pm-3m. As for the formation energy: 1.2187 eV/atom.

10.
VASP calculation (PBE) on an optimized crystal structure of HfCdOsPb2.

Cell lengths 5.284, 5.077, 5.284 Å; angles 90.00, 90.00, 90.00 degrees
Sites, in units of the cell vectors:
Cd (0.500, 0.500, 0.500)
Hf (0.000, 0.500, 0.000)
Pb (0.500, 0.000, 0.000)
Pb (0.000, 0.000, 0.500)
Os (0.000, 0.000, 0.000)

Values from the calculation:
As for the space group: P4/mmm. As for the formation energy: 0.5452 eV/atom.

11.
VASP calculation (PBE) on an optimized crystal structure of Hf2CdOsPb.

Cell lengths 5.159, 5.070, 5.159 Å; angles 90.00, 90.00, 90.00 degrees
Site moments in Bohr magnetons follow the coordinates.
Sites, in units of the cell vectors:
Hf (0.000, 0.000, 0.500)  -0.12
Hf (0.500, 0.000, 0.000)  -0.09
Pb (0.000, 0.500, 0.000)  -0.01
Cd (0.000, 0.000, 0.000)  0.01
Os (0.500, 0.500, 0.500)  1.48

Values from the calculation:
As for the space group: P4/mmm. As for the formation energy: 1.9346 eV/atom.

12.
VASP calculation (PBE) on an optimized crystal structure of Hf2CdSbOs.

Cell lengths 4.990, 5.201, 4.990 Å; angles 90.00, 90.00, 90.00 degrees
Sites, in units of the cell vectors:
Hf (0.500, 0.000, 0.000)
Hf (0.000, 0.000, 0.500)
Sb (0.500, 0.500, 0.500)
Cd (0.000, 0.500, 0.000)
Os (0.000, 0.000, 0.000)

Values from the calculation:
As for the space group: P4/mmm. The calculation puts the formation energy without anion corrections at 0.36 eV per atom.